[1]
# RbCrH2

A relaxed structure of RbCrH2 (PBE-GGA, the Alexandria database).

Values from the calculation:
energy relative to the lowest polymorph listed for this composition	1.1	meV per atom
electronic total energy	-33.8	eV per cell
theoretical density	3.049	g cm⁻³

Cell: 3.7920 3.8051 10.7844 Å, 80.09 89.95 82.47°
Last column: nearest neighbours and their distance in Å.
Sites, in units of the cell vectors:
Rb 0.9818 0.6451 0.7072  4 H 2.73
Rb 0.0182 0.3549 0.2928  4 H 2.73
Cr 0.3348 0.8348 0.0000  4 H 1.77, 1 Cr 1.89
Cr 0.6652 0.1652 0.0000  4 H 1.77, 1 Cr 1.89
H 0.5065 0.4462 0.1084  2 Cr 1.77
H 0.0068 0.9460 0.1086  2 Cr 1.77
H 0.9932 0.0540 0.8914  2 Cr 1.77
H 0.4935 0.5538 0.8916  2 Cr 1.77

[2]
# Er2InFe

A relaxed structure of Er2InFe (PBE-GGA, the Alexandria database).

Values from the calculation:
electronic total energy	-21.1	eV per cell
E_form	-196	meV per atom
theoretical density	9.477	g cm⁻³

Cell: 3.3218 3.3218 8.0220 Å, 90.00 90.00 90.00°
Last column: nearest neighbours and their distance in Å.
Sites, in units of the cell vectors:
Fe 0.5000 0.5000 0.0000  8 Er 2.84
Er 0.0000 0.0000 0.1990  4 Fe 2.84
In 0.5000 0.5000 0.5000  4 In 3.32, 8 Er 3.37
Er 0.0000 0.0000 0.8010  4 Fe 2.84

[3]
# Sm3Al3Zn2

A relaxed structure of Sm3Al3Zn2 (PBE-GGA, the Alexandria database).

Values from the calculation:
electronic total energy	-62.6	eV per cell
E_form	-420	meV per atom
theoretical density	6.036	g cm⁻³

Cell: 4.5426 5.8193 14.9848 Å, 90.00 90.00 112.97°
Last column: nearest neighbours and their distance in Å.
Sites, in units of the cell vectors:
Al 0.3853 0.7706 0.5375  3 Zn 2.63-2.83, 1 Al 2.70
Zn 0.7973 0.5947 0.9012  4 Al 2.63-2.83
Al 0.3853 0.7706 0.9625  3 Zn 2.63-2.83, 1 Al 2.70
Al 0.6147 0.2294 0.0375  3 Zn 2.63-2.83, 1 Al 2.70
Al 0.6147 0.2294 0.4625  3 Zn 2.63-2.83, 1 Al 2.70
Sm 0.6294 0.2588 0.2500  5 Al 3.15-3.19, 4 Zn 3.30
Sm 0.0944 0.1887 0.8900  4 Zn 3.15-3.34, 7 Al 3.18-3.37
Sm 0.3706 0.7412 0.7500  5 Al 3.15-3.19, 4 Zn 3.30
Zn 0.2027 0.4053 0.4012  4 Al 2.63-2.83
Sm 0.9056 0.8113 0.1100  4 Zn 3.15-3.34, 7 Al 3.18-3.37
Al 0.6673 0.3345 0.7500  2 Zn 2.66
Zn 0.2027 0.4053 0.0988  4 Al 2.63-2.83
Sm 0.0944 0.1887 0.6100  4 Zn 3.15-3.34, 7 Al 3.18-3.37
Sm 0.9056 0.8113 0.3900  4 Zn 3.15-3.34, 7 Al 3.18-3.37
Zn 0.7973 0.5947 0.5988  4 Al 2.63-2.83
Al 0.3327 0.6655 0.2500  2 Zn 2.66

[4]
# VHg2Pd

A relaxed structure of VHg2Pd (PBE-GGA, the Alexandria database).

Values from the calculation:
energy relative to the lowest polymorph listed for this composition	282.2	meV per atom
electronic total energy	-26.2	eV per cell
E_form	450	meV per atom
theoretical density	11.240	g cm⁻³

Cell: 7.5691 7.5691 6.0782 Å, 51.49 51.49 90.00°
Last column: nearest neighbours and their distance in Å.
Sites, in units of the cell vectors:
Hg 0.8750 0.8801 0.7500  2 Pd 2.75, 2 V 2.80, 2 Hg 2.88
Pd 0.7500 0.2500 0.5000  4 Hg 2.75, 2 V 2.88
Hg 0.3750 0.3699 0.7500  2 Pd 2.75, 2 V 2.80, 2 Hg 2.88
Pd 0.0000 0.0000 0.0000  4 Hg 2.75, 2 V 2.88
Hg 0.6301 0.1250 0.2500  2 Pd 2.75, 2 V 2.80, 2 Hg 2.88
V 0.2500 0.7500 0.5000  4 Hg 2.80, 2 Pd 2.88
Hg 0.1199 0.6250 0.2500  2 Pd 2.75, 2 V 2.80, 2 Hg 2.88
V 0.5000 0.5000 0.0000  4 Hg 2.80, 2 Pd 2.88

[5]
# Ta14SnW

A relaxed structure of Ta14SnW (PBE-GGA, the Alexandria database).

Values from the calculation:
electronic total energy	-182.9	eV per cell
E_form	-3	meV per atom
theoretical density	16.104	g cm⁻³

Cell: 5.7574 5.7574 9.3433 Å, 90.00 90.00 109.24°
Last column: nearest neighbours and their distance in Å.
Sites, in units of the cell vectors:
Ta 0.3784 0.6216 0.7504  8 Ta 2.86-2.90
Ta 0.6250 0.3750 0.0000  8 Ta 2.88-2.91
Ta 0.8717 0.1283 0.2497  8 Ta 2.86-2.90
Ta 0.1250 0.3750 0.5000  4 Ta 2.87, 2 Sn 2.88, 2 W 2.88
Ta 0.6250 0.8750 0.5000  4 Ta 2.87, 2 Sn 2.88, 2 W 2.88
Ta 0.1250 0.8750 0.0000  8 Ta 2.82-2.88
Ta 0.8865 0.6365 0.7506  6 Ta 2.82-2.91, 1 W 2.83, 1 Sn 2.92
Ta 0.3635 0.1135 0.2494  6 Ta 2.82-2.91, 1 W 2.83, 1 Sn 2.92
Ta 0.8865 0.6365 0.2494  6 Ta 2.82-2.91, 1 W 2.83, 1 Sn 2.92
Ta 0.6250 0.8750 0.0000  8 Ta 2.87-2.88
Ta 0.3784 0.6216 0.2496  8 Ta 2.86-2.90
Sn 0.6250 0.3750 0.5000  8 Ta 2.88-2.92
W 0.1250 0.8750 0.5000  8 Ta 2.83-2.88
Ta 0.3635 0.1135 0.7506  6 Ta 2.82-2.91, 1 W 2.83, 1 Sn 2.92
Ta 0.1250 0.3750 0.0000  8 Ta 2.87-2.88
Ta 0.8717 0.1283 0.7503  8 Ta 2.86-2.90

[6]
# NaP2RuCl

A relaxed structure of NaP2RuCl (PBE-GGA, the Alexandria database).

Values from the calculation:
formation energy from raw total energies	1.54	eV/atom
energy relative to the lowest polymorph listed for this composition	1651.5	meV per atom
electronic total energy	-15.6	eV per cell
theoretical density	3.269	g cm⁻³

Cell: 4.8742 4.8742 4.7356 Å, 90.00 90.00 90.00°
Last column: nearest neighbours and their distance in Å.
Sites, in units of the cell vectors:
Cl 0.0000 0.0000 0.5000  2 Na 2.37
Ru 0.5000 0.5000 0.5000  8 P 3.40, 4 Cl 3.45
P 0.0000 0.5000 0.0000  2 Na 2.44
P 0.5000 0.0000 0.0000  2 Na 2.44
Na 0.0000 0.0000 0.0000  2 Cl 2.37, 4 P 2.44

[7]
# Tb12PmAl4N3

A relaxed structure of Tb12PmAl4N3 (PBE-GGA, the Alexandria database).

Values from the calculation:
formation energy from raw total energies	-0.37	eV/atom
electronic total energy	-107.8	eV per cell
theoretical density	7.631	g cm⁻³

Cell: 8.5385 8.5385 8.5385 Å, 109.47 109.47 109.47°
Last column: nearest neighbours and their distance in Å.
Sites, in units of the cell vectors:
Tb 0.7259 0.7259 0.0000  1 N 2.23
Tb 0.7500 0.5000 0.2500  2 N 2.46
Tb 0.2741 0.0000 0.2741  1 N 2.23
Al 0.5000 0.0000 0.0000  12 Tb 3.49
N 0.0000 0.5000 0.5000  6 Tb 2.23-2.46
Tb 0.2500 0.5000 0.7500  2 N 2.46
N 0.5000 0.0000 0.5000  6 Tb 2.23-2.46
Tb 0.7500 0.2500 0.5000  2 N 2.46
Tb 0.2741 0.2741 0.0000  1 N 2.23
N 0.5000 0.5000 0.0000  6 Tb 2.23-2.46
Tb 0.5000 0.2500 0.7500  2 N 2.46
Tb 0.2500 0.7500 0.5000  2 N 2.46
Al 0.5000 0.5000 0.5000  12 Tb 3.49
Tb 0.5000 0.7500 0.2500  2 N 2.46
Al 0.0000 0.0000 0.5000  12 Tb 3.49
Pm 0.0000 0.0000 0.0000  6 Tb 2.70
Al 0.0000 0.5000 0.0000  12 Tb 3.49
Tb 0.7259 0.0000 0.7259  1 N 2.23
Tb 0.0000 0.7259 0.7259  1 N 2.23
Tb 0.0000 0.2741 0.2741  1 N 2.23

[8]
# Al2Ag

A relaxed structure of Al2Ag (PBE-GGA, the Alexandria database).

Values from the calculation:
electronic total energy	-41.7	eV per cell
E_form	-30	meV per atom
theoretical density	5.290	g cm⁻³

Cell: 5.8913 6.7601 5.8913 Å, 90.00 120.00 90.00°
Last column: nearest neighbours and their distance in Å.
Sites, in units of the cell vectors:
Al 0.6738 0.6660 0.3369  3 Ag 2.76-2.81, 9 Al 2.82-3.01
Ag 0.5006 0.9946 0.5012  7 Al 2.79-2.95, 5 Ag 2.93-2.96
Al 0.8314 0.3332 0.1629  8 Al 2.81-2.98, 4 Ag 2.84-2.95
Al 0.1631 0.6660 0.3369  3 Ag 2.76-2.81, 9 Al 2.82-3.01
Ag 0.3333 0.3482 0.1667  9 Al 2.76-2.95, 3 Ag 2.94
Ag 0.5006 0.9946 0.9994  7 Al 2.79-2.95, 5 Ag 2.93-2.96
Al 0.0000 0.0038 0.5000  6 Al 2.81-2.83, 6 Ag 2.95
Al 0.6667 0.6664 0.8333  3 Ag 2.79, 9 Al 2.81-2.95
Al 0.8314 0.3332 0.6686  8 Al 2.81-2.98, 4 Ag 2.84-2.95
Ag 0.9988 0.9946 0.9994  7 Al 2.79-2.95, 5 Ag 2.93-2.96
Al 0.3371 0.3332 0.6686  8 Al 2.81-2.98, 4 Ag 2.84-2.95
Al 0.1631 0.6660 0.8262  3 Ag 2.76-2.81, 9 Al 2.82-3.01